Record 1
Crystalline Ce6P5Cl at its relaxed geometry, computed with PBE.

Summary:
Electronic total energy in eV per atom: -6.918
SG: C2/m (12)
Mass density in g cm⁻³: 5.89
Total magnetic moment in μB per formula unit: 4.01

Geometry as CIF:
```
data_Ce6P5Cl
_chemical_formula_sum 'Ce6 P5 Cl1'
_space_group_name_H-M_alt 'P 1'
_space_group_IT_number 1
_space_group_name_Hall 'P 1'
_cell_length_a 7.084
_cell_length_b 7.088
_cell_length_c 7.087
_cell_angle_alpha 59.99
_cell_angle_beta 80.40
_cell_angle_gamma 70.53
loop_
_atom_site_label
_atom_site_type_symbol
_atom_site_fract_x
_atom_site_fract_y
_atom_site_fract_z
Ce1 Ce 0.745 0.085 0.341
P1 P 0.000 0.333 0.334
Ce2 Ce 0.255 0.574 0.341
Cl1 Cl 0.000 0.000 0.000
P2 P 0.500 0.164 0.671
Ce3 Ce 0.745 0.744 0.000
Ce4 Ce 0.255 0.256 0.000
Ce5 Ce 0.745 0.426 0.659
P3 P 0.500 0.500 0.000
P4 P 0.000 0.667 0.666
P5 P 0.500 0.836 0.329
Ce6 Ce 0.255 0.915 0.659
```



Record 2
Crystalline CePuPCl at its relaxed geometry, computed with PBE.

Summary:
Electronic total energy in eV per atom: -8.152
SG: R-3m (166)
Mass density in g cm⁻³: 7.84
Total magnetic moment in μB per formula unit: 0.85

Geometry as CIF:
```
data_CePuPCl
_chemical_formula_sum 'Ce2 Pu2 P2 Cl2'
_space_group_name_H-M_alt 'P 1'
_space_group_IT_number 1
_space_group_name_Hall 'P 1'
_cell_length_a 3.853
_cell_length_b 3.853
_cell_length_c 15.014
_cell_angle_alpha 82.63
_cell_angle_beta 82.63
_cell_angle_gamma 60.00
loop_
_atom_site_label
_atom_site_type_symbol
_atom_site_fract_x
_atom_site_fract_y
_atom_site_fract_z
Ce1 Ce 0.587 0.587 0.238
Cl1 Cl 0.705 0.705 0.884
P1 P 0.117 0.117 0.650
Ce2 Ce 0.413 0.413 0.762
P2 P 0.883 0.883 0.350
Pu1 Pu 0.822 0.822 0.535
Cl2 Cl 0.295 0.295 0.116
Pu2 Pu 0.178 0.178 0.465
```



Record 3
Crystalline CePS4Cl at its relaxed geometry, computed with PBE.

Summary:
Electronic total energy in eV per atom: -5.161
SG: C2/m (12)
Mass density in g cm⁻³: 3.08
Total magnetic moment in μB per formula unit: 0.13

Geometry as CIF:
```
data_CePS4Cl
_chemical_formula_sum 'Ce2 P2 S8 Cl2'
_space_group_name_H-M_alt 'P 1'
_space_group_IT_number 1
_space_group_name_Hall 'P 1'
_cell_length_a 6.962
_cell_length_b 6.962
_cell_length_c 7.850
_cell_angle_alpha 78.83
_cell_angle_beta 78.83
_cell_angle_gamma 78.12
loop_
_atom_site_label
_atom_site_type_symbol
_atom_site_fract_x
_atom_site_fract_y
_atom_site_fract_z
S1 S 0.535 0.535 0.311
S2 S 0.496 0.846 0.894
S3 S 0.465 0.465 0.689
S4 S 0.154 0.504 0.106
Ce1 Ce 0.787 0.787 0.123
S5 S 0.219 0.219 0.502
Cl1 Cl 0.974 0.974 0.807
S6 S 0.846 0.496 0.894
Cl2 Cl 0.026 0.026 0.193
P1 P 0.356 0.356 0.275
S7 S 0.504 0.154 0.106
P2 P 0.644 0.644 0.725
S8 S 0.781 0.781 0.498
Ce2 Ce 0.213 0.213 0.877
```



Record 4
Crystalline Ce4P2SCl at its relaxed geometry, computed with PBE.

Summary:
Electronic total energy in eV per atom: -6.744
SG: P2/m (10)
Mass density in g cm⁻³: 6.04
Total magnetic moment in μB per formula unit: 2.08

Geometry as CIF:
```
data_Ce4P2SCl
_chemical_formula_sum 'Ce4 P2 S1 Cl1'
_space_group_name_H-M_alt 'P 1'
_space_group_IT_number 1
_space_group_name_Hall 'P 1'
_cell_length_a 4.073
_cell_length_b 7.006
_cell_length_c 7.057
_cell_angle_alpha 70.39
_cell_angle_beta 90.00
_cell_angle_gamma 90.00
loop_
_atom_site_label
_atom_site_type_symbol
_atom_site_fract_x
_atom_site_fract_y
_atom_site_fract_z
Ce1 Ce 0.500 0.241 0.759
S1 S 0.500 0.500 0.000
Ce2 Ce 0.000 0.245 0.246
Ce3 Ce 0.000 0.755 0.754
P1 P 0.000 0.000 0.000
Cl1 Cl 0.000 0.500 0.500
P2 P 0.500 0.000 0.500
Ce4 Ce 0.500 0.759 0.241
```



Record 5
Crystalline Ce4PSCl2 at its relaxed geometry, computed with PBE.

Summary:
Electronic total energy in eV per atom: -6.271
SG: P2/m (10)
Mass density in g cm⁻³: 6.16
Total magnetic moment in μB per formula unit: 2.51

Geometry as CIF:
```
data_Ce4PSCl2
_chemical_formula_sum 'Ce4 P1 S1 Cl2'
_space_group_name_H-M_alt 'P 1'
_space_group_IT_number 1
_space_group_name_Hall 'P 1'
_cell_length_a 4.072
_cell_length_b 6.973
_cell_length_c 7.011
_cell_angle_alpha 70.21
_cell_angle_beta 90.00
_cell_angle_gamma 90.00
loop_
_atom_site_label
_atom_site_type_symbol
_atom_site_fract_x
_atom_site_fract_y
_atom_site_fract_z
Ce1 Ce 0.500 0.263 0.745
P1 P 0.500 0.500 0.000
Ce2 Ce 0.000 0.262 0.247
Ce3 Ce 0.000 0.738 0.753
Cl1 Cl 0.500 0.000 0.500
Cl2 Cl 0.000 0.000 0.000
S1 S 0.000 0.500 0.500
Ce4 Ce 0.500 0.737 0.255
```



Record 6
Crystalline Ce6P3S2Cl at its relaxed geometry, computed with PBE.

Summary:
Electronic total energy in eV per atom: -6.877
SG: C2/m (12)
Mass density in g cm⁻³: 6.02
Total magnetic moment in μB per formula unit: 3.62

Geometry as CIF:
```
data_Ce6P3S2Cl
_chemical_formula_sum 'Ce6 P3 S2 Cl1'
_space_group_name_H-M_alt 'P 1'
_space_group_IT_number 1
_space_group_name_Hall 'P 1'
_cell_length_a 4.072
_cell_length_b 8.116
_cell_length_c 9.074
_cell_angle_alpha 102.55
_cell_angle_beta 102.96
_cell_angle_gamma 90.00
loop_
_atom_site_label
_atom_site_type_symbol
_atom_site_fract_x
_atom_site_fract_y
_atom_site_fract_z
P1 P 0.500 0.500 0.000
Ce1 Ce 0.000 0.740 0.000
Ce2 Ce 0.000 0.260 0.000
Ce3 Ce 0.334 0.416 0.667
S1 S 0.833 0.667 0.666
P2 P 0.834 0.166 0.669
Ce4 Ce 0.666 0.584 0.333
Cl1 Cl 0.500 0.000 0.000
P3 P 0.166 0.834 0.331
Ce5 Ce 0.330 0.915 0.660
S2 S 0.167 0.333 0.334
Ce6 Ce 0.670 0.085 0.340
```



Record 7
Crystalline Ce6P2SCl3 at its relaxed geometry, computed with PBE.

Summary:
Electronic total energy in eV per atom: -6.293
SG: C2/m (12)
Mass density in g cm⁻³: 6.12
Total magnetic moment in μB per formula unit: 3.27

Geometry as CIF:
```
data_Ce6P2SCl3
_chemical_formula_sum 'Ce6 P2 S1 Cl3'
_space_group_name_H-M_alt 'P 1'
_space_group_IT_number 1
_space_group_name_Hall 'P 1'
_cell_length_a 4.076
_cell_length_b 8.056
_cell_length_c 9.047
_cell_angle_alpha 102.46
_cell_angle_beta 103.02
_cell_angle_gamma 90.00
loop_
_atom_site_label
_atom_site_type_symbol
_atom_site_fract_x
_atom_site_fract_y
_atom_site_fract_z
Ce1 Ce 0.663 0.089 0.327
Cl1 Cl 0.832 0.167 0.664
Ce2 Ce 0.670 0.577 0.340
Ce3 Ce 0.998 0.758 0.996
P1 P 0.834 0.668 0.668
S1 S 0.500 0.000 0.000
Ce4 Ce 0.002 0.242 0.004
Ce5 Ce 0.330 0.423 0.660
Cl2 Cl 0.500 0.500 0.000
Ce6 Ce 0.337 0.911 0.673
Cl3 Cl 0.168 0.833 0.336
P2 P 0.166 0.332 0.332
```



Record 8
Crystalline Ce4PSe2Cl at its relaxed geometry, computed with PBE.

Summary:
Electronic total energy in eV per atom: -6.419
SG: P2/m (10)
Mass density in g cm⁻³: 6.54
Total magnetic moment in μB per formula unit: 2.83

Geometry as CIF:
```
data_Ce4PSe2Cl
_chemical_formula_sum 'Ce4 P1 Se2 Cl1'
_space_group_name_H-M_alt 'P 1'
_space_group_IT_number 1
_space_group_name_Hall 'P 1'
_cell_length_a 4.132
_cell_length_b 7.177
_cell_length_c 7.125
_cell_angle_alpha 70.53
_cell_angle_beta 90.00
_cell_angle_gamma 90.00
loop_
_atom_site_label
_atom_site_type_symbol
_atom_site_fract_x
_atom_site_fract_y
_atom_site_fract_z
Ce1 Ce 0.000 0.262 0.240
Ce2 Ce 0.500 0.259 0.753
Ce3 Ce 0.500 0.741 0.247
Cl1 Cl 0.000 0.500 0.500
Se1 Se 0.500 0.000 0.500
P1 P 0.500 0.500 0.000
Ce4 Ce 0.000 0.738 0.760
Se2 Se 0.000 0.000 0.000
```



Record 9
Crystalline Ce6P2SeCl3 at its relaxed geometry, computed with PBE.

Summary:
Electronic total energy in eV per atom: -6.194
SG: C2/m (12)
Mass density in g cm⁻³: 6.26
Total magnetic moment in μB per formula unit: 3.59

Geometry as CIF:
```
data_Ce6P2SeCl3
_chemical_formula_sum 'Ce6 P2 Se1 Cl3'
_space_group_name_H-M_alt 'P 1'
_space_group_IT_number 1
_space_group_name_Hall 'P 1'
_cell_length_a 4.108
_cell_length_b 8.113
_cell_length_c 9.075
_cell_angle_alpha 101.40
_cell_angle_beta 103.08
_cell_angle_gamma 90.00
loop_
_atom_site_label
_atom_site_type_symbol
_atom_site_fract_x
_atom_site_fract_y
_atom_site_fract_z
Ce1 Ce 0.004 0.257 0.009
Ce2 Ce 0.669 0.576 0.338
Cl1 Cl 0.500 0.500 0.000
P1 P 0.168 0.334 0.335
Se1 Se 0.500 0.000 0.000
Cl2 Cl 0.165 0.833 0.330
P2 P 0.832 0.666 0.665
Ce3 Ce 0.331 0.424 0.662
Ce4 Ce 0.669 0.094 0.338
Ce5 Ce 0.996 0.743 0.991
Ce6 Ce 0.331 0.906 0.662
Cl3 Cl 0.835 0.167 0.670
```



Record 10
Crystalline Ce4TcPCl2 at its relaxed geometry, computed with PBE.

Summary:
Electronic total energy in eV per atom: -6.497
SG: P2/m (10)
Mass density in g cm⁻³: 6.41
Total magnetic moment in μB per formula unit: 2.46

Geometry as CIF:
```
data_Ce4TcPCl2
_chemical_formula_sum 'Ce4 Tc1 P1 Cl2'
_space_group_name_H-M_alt 'P 1'
_space_group_IT_number 1
_space_group_name_Hall 'P 1'
_cell_length_a 4.001
_cell_length_b 7.155
_cell_length_c 7.219
_cell_angle_alpha 107.53
_cell_angle_beta 90.00
_cell_angle_gamma 90.00
loop_
_atom_site_label
_atom_site_type_symbol
_atom_site_fract_x
_atom_site_fract_y
_atom_site_fract_z
Cl1 Cl 0.500 0.000 0.500
Ce1 Ce 0.500 0.236 0.224
P1 P 0.500 0.500 0.000
Cl2 Cl 0.000 0.500 0.500
Ce2 Ce 0.500 0.764 0.776
Tc1 Tc 0.000 0.000 0.000
Ce3 Ce 0.000 0.248 0.778
Ce4 Ce 0.000 0.752 0.222
```